<P>
# PBE ScTc2Ag, optimized geometry
# Theoretical density (g/cm3): 8.30
# Calculated volume (Å³ per cell): 69.79
data_ScTc2Ag
_cell_length_a 2.8640
_cell_length_b 4.4510
_cell_length_c 5.4750
_cell_angle_alpha 90.00
_cell_angle_beta 90.00
_cell_angle_gamma 90.00
_symmetry_space_group_name_H-M 'P m m m'
_symmetry_Int_Tables_number 47
_symmetry_space_group_name_Hall '-P 2 2'
loop_
_atom_site_label
_atom_site_fract_x
_atom_site_fract_y
_atom_site_fract_z
Sc1 0.0000 0.0000 0.0000
Tc1 0.5000 0.5000 0.2100
Ag1 0.0000 0.0000 0.5000

---

<Q>
# PBE ScTc2Ag, optimized geometry
# Theoretical density (g/cm3): 8.64
# Calculated volume (Å³ per cell): 201.20
data_ScTc2Ag
_cell_length_a 2.8515
_cell_length_b 2.8515
_cell_length_c 28.5730
_cell_angle_alpha 90.00
_cell_angle_beta 90.00
_cell_angle_gamma 120.00
_symmetry_space_group_name_H-M 'R -3 m'
_symmetry_Int_Tables_number 166
_symmetry_space_group_name_Hall '-R 3 2"'
loop_
_atom_site_label
_atom_site_fract_x
_atom_site_fract_y
_atom_site_fract_z
Sc1 0.0000 0.0000 0.0000
Tc1 0.0000 0.0000 0.2508
Ag1 0.0000 0.0000 0.5000

---

In eV/atom, relative to the most stable structure: <P> 0.000; <Q> 0.148.

---

<P>
# PBE ScTcAg, optimized geometry
# Theoretical density (g/cm3): 6.70
# Calculated volume (Å³ per cell): 248.54
data_ScTcAg
_cell_length_a 6.2873
_cell_length_b 6.2873
_cell_length_c 6.2873
_cell_angle_alpha 90.00
_cell_angle_beta 90.00
_cell_angle_gamma 90.00
_symmetry_space_group_name_H-M 'F -4 3 m'
_symmetry_Int_Tables_number 216
_symmetry_space_group_name_Hall 'F -4 2 3'
loop_
_atom_site_label
_atom_site_fract_x
_atom_site_fract_y
_atom_site_fract_z
Sc1 0.0000 0.0000 0.0000
Tc1 0.2500 0.2500 0.2500
Ag1 0.2500 0.2500 0.7500

---

<Q>
# PBE ScTcAg, optimized geometry
# Theoretical density (g/cm3): 6.51
# Calculated volume (Å³ per cell): 255.74
data_ScTcAg
_cell_length_a 6.3474
_cell_length_b 6.3474
_cell_length_c 6.3474
_cell_angle_alpha 90.00
_cell_angle_beta 90.00
_cell_angle_gamma 90.00
_symmetry_space_group_name_H-M 'F -4 3 m'
_symmetry_Int_Tables_number 216
_symmetry_space_group_name_Hall 'F -4 2 3'
loop_
_atom_site_label
_atom_site_fract_x
_atom_site_fract_y
_atom_site_fract_z
Sc1 0.0000 0.0000 0.0000
Tc1 0.2500 0.2500 0.2500
Ag1 0.0000 0.0000 0.5000

---

In eV/atom, relative to the most stable structure: <P> 0.182; <Q> 0.000.

---

<P>
# PBE ScTcAg, optimized geometry
# Theoretical density (g/cm3): 7.91
# Calculated volume (Å³ per cell): 105.32
data_ScTcAg
_cell_length_a 2.8388
_cell_length_b 2.8388
_cell_length_c 13.0694
_cell_angle_alpha 90.00
_cell_angle_beta 90.00
_cell_angle_gamma 90.00
_symmetry_space_group_name_H-M 'I 4 m m'
_symmetry_Int_Tables_number 107
_symmetry_space_group_name_Hall 'I 4 -2'
loop_
_atom_site_label
_atom_site_fract_x
_atom_site_fract_y
_atom_site_fract_z
Sc1 0.0000 0.0000 0.0000
Tc1 0.0000 0.0000 0.6578
Ag1 0.0000 0.0000 0.3221

---

<Q>
# PBE ScTcAg, optimized geometry
# Theoretical density (g/cm3): 7.87
# Calculated volume (Å³ per cell): 211.56
data_ScTcAg
_cell_length_a 3.4965
_cell_length_b 4.5202
_cell_length_c 13.3861
_cell_angle_alpha 90.00
_cell_angle_beta 90.00
_cell_angle_gamma 90.00
_symmetry_space_group_name_H-M 'F m m 2'
_symmetry_Int_Tables_number 42
_symmetry_space_group_name_Hall 'F 2 -2'
loop_
_atom_site_label
_atom_site_fract_x
_atom_site_fract_y
_atom_site_fract_z
Sc1 0.0000 0.0000 0.0000
Tc1 0.0000 0.0000 0.6513
Ag1 0.0000 0.0000 0.3199

---

<R>
# PBE ScTcAg, optimized geometry
# Theoretical density (g/cm3): 7.89
# Calculated volume (Å³ per cell): 105.53
data_ScTcAg
_cell_length_a 2.7832
_cell_length_b 4.1844
_cell_length_c 9.0610
_cell_angle_alpha 90.00
_cell_angle_beta 90.00
_cell_angle_gamma 90.00
_symmetry_space_group_name_H-M 'I m m 2'
_symmetry_Int_Tables_number 44
_symmetry_space_group_name_Hall 'I 2 -2'
loop_
_atom_site_label
_atom_site_fract_x
_atom_site_fract_y
_atom_site_fract_z
Sc1 0.0000 0.0000 0.0000
Tc1 0.0000 0.0000 0.6529
Ag1 0.0000 0.0000 0.3228

---

<S>
# PBE ScTcAg, optimized geometry
# Theoretical density (g/cm3): 7.98
# Calculated volume (Å³ per cell): 52.22
data_ScTcAg
_cell_length_a 4.7256
_cell_length_b 4.7256
_cell_length_c 2.7002
_cell_angle_alpha 90.00
_cell_angle_beta 90.00
_cell_angle_gamma 120.00
_symmetry_space_group_name_H-M 'P 3 m 1'
_symmetry_Int_Tables_number 156
_symmetry_space_group_name_Hall 'P 3 -2"'
loop_
_atom_site_label
_atom_site_fract_x
_atom_site_fract_y
_atom_site_fract_z
Sc1 0.0000 0.0000 0.0000
Tc1 0.3333 0.6667 0.3654
Ag1 0.6667 0.3333 0.7247

---

In eV/atom, relative to the most stable structure: <P> 0.013; <Q> 0.000; <R> 0.027; <S> 0.071.

---

<P>
# PBE ScTcAg3, optimized geometry
# Theoretical density (g/cm3): 6.18
# Calculated volume (Å³ per cell): 125.27
data_ScTcAg3
_cell_length_a 5.0036
_cell_length_b 5.0036
_cell_length_c 5.0036
_cell_angle_alpha 90.00
_cell_angle_beta 90.00
_cell_angle_gamma 90.00
_symmetry_space_group_name_H-M 'P m -3 m'
_symmetry_Int_Tables_number 221
_symmetry_space_group_name_Hall '-P 4 2 3'
loop_
_atom_site_label
_atom_site_fract_x
_atom_site_fract_y
_atom_site_fract_z
Sc1 0.0000 0.0000 0.0000
Tc1 0.5000 0.5000 0.5000
Ag1 0.0000 0.5000 0.5000

---

<Q>
# PBE ScTcAg3, optimized geometry
# Theoretical density (g/cm3): 6.22
# Calculated volume (Å³ per cell): 124.46
data_ScTcAg3
_cell_length_a 4.9928
_cell_length_b 4.9928
_cell_length_c 4.9928
_cell_angle_alpha 90.00
_cell_angle_beta 90.00
_cell_angle_gamma 90.00
_symmetry_space_group_name_H-M 'P m -3 m'
_symmetry_Int_Tables_number 221
_symmetry_space_group_name_Hall '-P 4 2 3'
loop_
_atom_site_label
_atom_site_fract_x
_atom_site_fract_y
_atom_site_fract_z
Sc1 0.0000 0.0000 0.0000
Tc1 0.5000 0.5000 0.5000
Ag1 0.0000 0.0000 0.5000

---

In eV/atom, relative to the most stable structure: <P> 0.000; <Q> 0.358.

---

<P>
# PBE Th2ScAg, optimized geometry
# Theoretical density (g/cm3): 9.44
# Calculated volume (Å³ per cell): 108.52
data_Th2ScAg
_cell_length_a 5.5635
_cell_length_b 5.5635
_cell_length_c 3.5061
_cell_angle_alpha 90.00
_cell_angle_beta 90.00
_cell_angle_gamma 90.00
_symmetry_space_group_name_H-M 'P 4/m m m'
_symmetry_Int_Tables_number 123
_symmetry_space_group_name_Hall '-P 4 2'
loop_
_atom_site_label
_atom_site_fract_x
_atom_site_fract_y
_atom_site_fract_z
Th1 0.0000 0.5000 0.0000
Sc1 0.0000 0.0000 0.5000
Ag1 0.5000 0.5000 0.5000

---

<Q>
# PBE Th2ScAg, optimized geometry
# Theoretical density (g/cm3): 8.93
# Calculated volume (Å³ per cell): 344.11
data_Th2ScAg
_cell_length_a 3.3387
_cell_length_b 3.3387
_cell_length_c 35.6461
_cell_angle_alpha 90.00
_cell_angle_beta 90.00
_cell_angle_gamma 120.00
_symmetry_space_group_name_H-M 'R -3 m'
_symmetry_Int_Tables_number 166
_symmetry_space_group_name_Hall '-R 3 2"'
loop_
_atom_site_label
_atom_site_fract_x
_atom_site_fract_y
_atom_site_fract_z
Th1 0.0000 0.0000 0.0874
Sc1 0.0000 0.0000 0.5000
Ag1 0.0000 0.0000 0.0000

---

<R>
# PBE Th2ScAg, optimized geometry
# Theoretical density (g/cm3): 9.26
# Calculated volume (Å³ per cell): 110.64
data_Th2ScAg
_cell_length_a 3.4470
_cell_length_b 3.4470
_cell_length_c 9.3119
_cell_angle_alpha 90.00
_cell_angle_beta 90.00
_cell_angle_gamma 90.00
_symmetry_space_group_name_H-M 'P 4/m m m'
_symmetry_Int_Tables_number 123
_symmetry_space_group_name_Hall '-P 4 2'
loop_
_atom_site_label
_atom_site_fract_x
_atom_site_fract_y
_atom_site_fract_z
Th1 0.0000 0.0000 0.2373
Sc1 0.5000 0.5000 0.5000
Ag1 0.5000 0.5000 0.0000

---

In eV/atom, relative to the most stable structure: <P> 0.015; <Q> 0.311; <R> 0.000.

---

<P>
# PBE ThSc2Ag, optimized geometry
# Theoretical density (g/cm3): 7.20
# Calculated volume (Å³ per cell): 297.53
data_ThSc2Ag
_cell_length_a 3.4017
_cell_length_b 3.4017
_cell_length_c 29.6894
_cell_angle_alpha 90.00
_cell_angle_beta 90.00
_cell_angle_gamma 120.00
_symmetry_space_group_name_H-M 'R -3 m'
_symmetry_Int_Tables_number 166
_symmetry_space_group_name_Hall '-R 3 2"'
loop_
_atom_site_label
_atom_site_fract_x
_atom_site_fract_y
_atom_site_fract_z
Th1 0.0000 0.0000 0.0000
Sc1 0.0000 0.0000 0.2422
Ag1 0.0000 0.0000 0.5000

---

<Q>
# PBE ThSc2Ag, optimized geometry
# Theoretical density (g/cm3): 7.44
# Calculated volume (Å³ per cell): 95.92
data_ThSc2Ag
_cell_length_a 3.5025
_cell_length_b 3.5025
_cell_length_c 7.8194
_cell_angle_alpha 90.00
_cell_angle_beta 90.00
_cell_angle_gamma 90.00
_symmetry_space_group_name_H-M 'P 4/m m m'
_symmetry_Int_Tables_number 123
_symmetry_space_group_name_Hall '-P 4 2'
loop_
_atom_site_label
_atom_site_fract_x
_atom_site_fract_y
_atom_site_fract_z
Th1 0.0000 0.0000 0.0000
Sc1 0.5000 0.5000 0.2867
Ag1 0.0000 0.0000 0.5000

---

<R>
# PBE ThSc2Ag, optimized geometry
# Theoretical density (g/cm3): 7.14
# Calculated volume (Å³ per cell): 300.01
data_ThSc2Ag
_cell_length_a 3.3848
_cell_length_b 3.3848
_cell_length_c 30.2378
_cell_angle_alpha 90.00
_cell_angle_beta 90.00
_cell_angle_gamma 120.00
_symmetry_space_group_name_H-M 'R 3 m'
_symmetry_Int_Tables_number 160
_symmetry_space_group_name_Hall 'R 3 -2"'
loop_
_atom_site_label
_atom_site_fract_x
_atom_site_fract_y
_atom_site_fract_z
Th1 0.0000 0.0000 0.0000
Sc1 0.0000 0.0000 0.2410
Sc2 0.0000 0.0000 0.4269
Ag1 0.0000 0.0000 0.8342

---

In eV/atom, relative to the most stable structure: <P> 0.154; <Q> 0.000; <R> 0.174.

---

<P>
# PBE ScTiAg2, optimized geometry
# Theoretical density (g/cm3): 6.76
# Calculated volume (Å³ per cell): 75.78
data_ScTiAg2
_cell_length_a 3.3710
_cell_length_b 3.3710
_cell_length_c 6.6684
_cell_angle_alpha 90.00
_cell_angle_beta 90.00
_cell_angle_gamma 90.00
_symmetry_space_group_name_H-M 'P 4/m m m'
_symmetry_Int_Tables_number 123
_symmetry_space_group_name_Hall '-P 4 2'
loop_
_atom_site_label
_atom_site_fract_x
_atom_site_fract_y
_atom_site_fract_z
Sc1 0.0000 0.0000 0.0000
Ti1 0.0000 0.0000 0.5000
Ag1 0.5000 0.5000 0.2612

---

<Q>
# PBE ScTiAg2, optimized geometry
# Theoretical density (g/cm3): 6.42
# Calculated volume (Å³ per cell): 319.18
data_ScTiAg2
_cell_length_a 7.6005
_cell_length_b 7.6005
_cell_length_c 5.5252
_cell_angle_alpha 90.00
_cell_angle_beta 90.00
_cell_angle_gamma 90.00
_symmetry_space_group_name_H-M 'I -4 2 d'
_symmetry_Int_Tables_number 122
_symmetry_space_group_name_Hall 'I -4 2bw'
loop_
_atom_site_label
_atom_site_fract_x
_atom_site_fract_y
_atom_site_fract_z
Sc1 0.0000 0.0000 0.0000
Ti1 0.0000 0.0000 0.5000
Ag1 0.2335 0.2500 0.6250

---

In eV/atom, relative to the most stable structure: <P> 0.000; <Q> 0.363.

---

<P>
# PBE ScTiAg2, optimized geometry
# Theoretical density (g/cm3): 6.74
# Calculated volume (Å³ per cell): 76.03
data_ScTiAg2
_cell_length_a 4.7019
_cell_length_b 4.7019
_cell_length_c 3.4392
_cell_angle_alpha 90.00
_cell_angle_beta 90.00
_cell_angle_gamma 90.00
_symmetry_space_group_name_H-M 'P 4/m m m'
_symmetry_Int_Tables_number 123
_symmetry_space_group_name_Hall '-P 4 2'
loop_
_atom_site_label
_atom_site_fract_x
_atom_site_fract_y
_atom_site_fract_z
Sc1 0.0000 0.0000 0.0000
Ti1 0.5000 0.5000 0.0000
Ag1 0.0000 0.5000 0.5000

---

<Q>
# PBE ScTiAg2, optimized geometry
# Theoretical density (g/cm3): 6.74
# Calculated volume (Å³ per cell): 304.30
data_ScTiAg2
_cell_length_a 6.7261
_cell_length_b 6.7261
_cell_length_c 6.7261
_cell_angle_alpha 90.00
_cell_angle_beta 90.00
_cell_angle_gamma 90.00
_symmetry_space_group_name_H-M 'F m -3 m'
_symmetry_Int_Tables_number 225
_symmetry_space_group_name_Hall '-F 4 2 3'
loop_
_atom_site_label
_atom_site_fract_x
_atom_site_fract_y
_atom_site_fract_z
Sc1 0.0000 0.0000 0.0000
Ti1 0.0000 0.0000 0.5000
Ag1 0.2500 0.2500 0.2500

---

In eV/atom, relative to the most stable structure: <P> 0.000; <Q> 0.009.